A relaxed structure of LaThRh2. Source: Alexandria, functional GGA-PBE.

abc: 5.722 5.734 11.848
angles: 90.00 104.80 90.00
Sites, in units of the cell vectors:
La  0.192  0.130  0.140
La  0.192  0.870  0.640
La  0.808  0.130  0.360
La  0.808  0.870  0.860
Th  0.309  0.368  0.864
Th  0.309  0.632  0.364
Th  0.691  0.368  0.636
Th  0.691  0.632  0.136
Rh  0.172  0.374  0.602
Rh  0.172  0.626  0.102
Rh  0.335  0.141  0.411
Rh  0.335  0.859  0.911
Rh  0.665  0.141  0.089
Rh  0.665  0.859  0.589
Rh  0.828  0.374  0.898
Rh  0.828  0.626  0.398

- Density of states at the Fermi level: 0.634 states/eV/atom
- Formation enthalpy at 0 K: -331 kJ/mol of formula units
- SG: P2/c